No. 1
## Nd5BiIr2 (PBE)

Data for a geometry-optimized Nd5BiIr2 structure.

extended XYZ file:
```
16
Lattice="-4.0523 4.0523 6.9669 4.0523 -4.0523 6.9669 4.0523 4.0523 -6.9669" Properties=species:S:1:pos:R:3 pbc="T T T"
Nd 0.0000 0.0000 0.0000
Nd 5.3272 1.2749 -1.8412
Nd 1.2749 2.7774 -1.8412
Nd 5.3272 1.2749 1.8412
Nd 1.2749 2.7774 1.8412
Nd 0.0000 0.0000 6.9669
Nd 2.7774 1.2749 5.1257
Nd -1.2749 2.7774 5.1257
Nd 2.7774 1.2749 8.8081
Nd -1.2749 2.7774 8.8081
Bi 0.0000 0.0000 3.4834
Bi 0.0000 0.0000 10.4503
Ir 2.9167 1.1356 0.0000
Ir 2.9167 -1.1356 6.9669
Ir 1.1356 5.1879 0.0000
Ir 1.1356 2.9167 6.9669
```

calculated formation energy = -5.29 eV/f.u.


No. 2
## YHo6Tm2Sc (PBE)

Data for a geometry-optimized YHo6Tm2Sc structure.

extended XYZ file:
```
20
Lattice="4.4773 -7.3879 0.0000 4.4773 7.3879 0.0000 -1.1217 0.0000 9.2649" Properties=species:S:1:pos:R:3 pbc="T T T"
Y 3.6360 7.0581 6.9487
Y 4.1969 -7.0581 2.3162
Ho 1.7903 4.1102 6.3870
Ho 3.8871 4.6200 0.5100
Ho 4.5067 4.6200 4.1225
Ho 2.5696 1.5759 8.1869
Ho 5.4818 4.1102 7.5104
Ho 4.7025 1.5759 5.7105
Ho 3.1304 -1.5759 3.5544
Ho 2.3512 -4.1102 1.7545
Ho 5.2634 -1.5759 1.0780
Ho 3.3262 -4.6200 5.1425
Ho 3.9458 -4.6200 8.7549
Ho 6.0426 -4.1102 2.8780
Tm 1.6651 0.7917 5.0644
Tm 2.2260 -0.7917 0.4319
Tm 5.6070 0.7917 8.8330
Tm 6.1678 -0.7917 4.2005
Sc 4.1969 1.2766 2.3162
Sc 3.6360 -1.2766 6.9487
```

calculated formation energy = 1.26 eV/f.u.


No. 3
## La6GeTe3As2 (PBE)

Data for a geometry-optimized La6GeTe3As2 structure.

extended XYZ file:
```
12
Lattice="9.8556 -2.2321 0.0000 9.8556 2.2321 0.0000 -2.2777 0.0000 8.7636" Properties=species:S:1:pos:R:3 pbc="T T T"
La -0.4368 0.0000 2.0610
La 5.4820 0.0000 3.7738
La 4.6377 0.0000 7.9206
La 12.7959 0.0000 0.8431
La 11.9516 0.0000 4.9899
La 17.8704 0.0000 6.7026
Ge 9.8556 0.0000 0.0000
Te 1.4013 0.0000 7.2992
Te 8.7168 0.0000 4.3818
Te 16.0322 0.0000 1.4644
As 2.5367 0.0000 2.9340
As 14.8969 0.0000 5.8296
```

uncorrected energy = -5.94 eV per atom


No. 4
## Sn2Sb2Rh (PBE)

Data for a geometry-optimized Sn2Sb2Rh structure.

extended XYZ file:
```
10
Lattice="6.7864 0.0000 0.0000 0.0000 6.7864 0.0000 0.0000 0.0000 5.6610" Properties=species:S:1:pos:R:3 pbc="T T T"
Sn 1.1989 2.1943 0.0000
Sn 2.1943 5.5875 0.0000
Sn 4.5921 1.1989 0.0000
Sn 5.5875 4.5921 0.0000
Sb 1.0089 4.4021 2.8305
Sb 2.3843 1.0089 2.8305
Sb 4.4021 5.7775 2.8305
Sb 5.7775 2.3843 2.8305
Rh 0.0000 0.0000 2.8305
Rh 3.3932 3.3932 2.8305
```

uncorrected energy = -4.69 eV per atom